[1]
# SCAN AlReRu2, single point on PBEsol structure
data_AlReRu2
_chemical_formula_sum 'Al1 Re1 Ru2'
_cell_length_a 4.620
_cell_length_b 2.743
_cell_length_c 4.800
_cell_angle_alpha 90.00
_cell_angle_beta 114.39
_cell_angle_gamma 90.00
_space_group_name_H-M_alt 'P 1 2/m 1'
_space_group_IT_number 10
_space_group_name_Hall '-P 2y'
loop_
_atom_site_label
_atom_site_type_symbol
_atom_site_fract_x
_atom_site_fract_y
_atom_site_fract_z
_atom_site_occupancy
Al1 Al 0.000 0.000 0.000 1
Re1 Re 0.000 0.500 0.500 1
Ru1 Ru 0.500 0.000 0.500 1
Ru2 Ru 0.500 0.500 0.000 1
# **Final energy**: -148.87 eV per cell
# **ΔH_f (0 K)**: -0.09 eV per atom

[2]
# SCAN NaGa2Pt2, single point on PBEsol structure
data_NaGa2Pt2
_chemical_formula_sum 'Na2 Ga4 Pt4'
_cell_length_a 7.609
_cell_length_b 7.609
_cell_length_c 2.767
_cell_angle_alpha 90.00
_cell_angle_beta 90.00
_cell_angle_gamma 90.00
_space_group_name_H-M_alt 'P 4/m b m'
_space_group_IT_number 127
_space_group_name_Hall '-P 4 2ab'
loop_
_atom_site_label
_atom_site_type_symbol
_atom_site_fract_x
_atom_site_fract_y
_atom_site_fract_z
_atom_site_occupancy
Na1 Na 0.000 0.000 0.000 1
Ga1 Ga 0.153 0.347 0.500 1
Pt1 Pt 0.144 0.644 0.000 1
# **Final energy**: -361.62 eV per cell
# **ΔH_f (0 K)**: -0.70 eV per atom